# 1
5
Lattice="5.441 0.000 0.000 0.000 5.050 0.000 0.000 0.000 5.441" Properties=species:S:1:pos:R:3 comment="GGA-PBE KHfGeSe2, relaxed" volume_a3_per_atom=29.9 raw_formation_energy_mev_per_atom=218 magnetic_moment_mub_per_fu=0.00 pbc="T T T"
Ge 0.000 0.000 0.000
Hf 0.000 2.525 0.000
K 2.720 2.525 2.720
Se 0.000 0.000 2.720
Se 2.720 0.000 0.000

# 2
8
Lattice="-3.817 -4.296 2.479 1.940 -6.655 -0.019 2.274 -3.759 5.844" Properties=species:S:1:pos:R:3 comment="GGA-PBE CoAgBr6, relaxed" volume_a3_per_atom=27.1 raw_formation_energy_mev_per_atom=-122 magnetic_moment_mub_per_fu=0.92 pbc="T T T"
Co 0.000 0.000 0.000
Ag 0.199 -7.354 4.152
Br 2.306 -5.850 4.629
Br -1.121 -6.725 6.342
Br -1.492 -4.691 2.808
Br 1.519 -7.984 1.962
Br -1.908 -8.858 3.674
Br 1.890 -10.017 5.495

# 3
10
Lattice="-3.322 -3.992 -3.218 6.560 -1.322 3.865 -7.976 1.756 4.993" Properties=species:S:1:pos:R:3 comment="GGA-PBE La3GeAu, relaxed" volume_a3_per_atom=29.5 magnetic_moment_mub_per_fu=0.00 ef_mev_per_atom=-656 pbc="T T T"
La 3.476 -2.346 2.171
La -5.906 -3.087 0.475
La -4.636 -2.476 4.101
La -0.102 -1.082 1.539
La -8.215 -1.212 3.469
La 1.168 -0.471 5.165
Ge 0.952 -4.196 1.175
Ge -5.690 0.638 4.465
Au -3.249 -1.547 1.419
Au -1.489 -2.010 4.221

# 4
3
Lattice="-1.689 -2.539 -3.696 3.362 -1.581 -0.451 -2.531 -1.593 2.251" Properties=species:S:1:pos:R:3 comment="GGA-PBE SrBPt, relaxed" volume_a3_per_atom=19.4 magnetic_moment_mub_per_fu=0.00 ef_mev_per_atom=-435 pbc="T T T"
Sr -1.693 -3.282 -1.114
B 1.117 -2.008 -0.166
Pt -0.282 -0.423 -0.616

# 5
6
Lattice="3.880 0.000 0.000 0.000 5.162 -1.709 0.000 -0.022 8.584" Properties=species:S:1:pos:R:3 comment="GGA-PBE La3Ag2Hg, relaxed" volume_a3_per_atom=28.6 magnetic_moment_mub_per_fu=0.27 ef_mev_per_atom=-340 pbc="T T T"
La 1.940 2.581 -0.854
La 1.940 4.270 4.246
La 1.940 0.870 2.629
Ag 0.000 1.719 5.192
Ag 3.880 3.421 1.683
Hg 0.000 0.000 0.000

# 6
4
Lattice="-3.569 2.174 -2.060 -1.335 -1.257 -4.283 -4.043 -2.231 -0.619" Properties=species:S:1:pos:R:3 comment="GGA-PBE GdNbOsRu, relaxed" volume_a3_per_atom=17.9 magnetic_moment_mub_per_fu=6.97 ef_mev_per_atom=-138 pbc="T T T"
Ru -6.710 -0.985 -5.222
Nb -4.473 -0.657 -3.482
Gd 0.000 0.000 0.000
Os -2.237 -0.328 -1.741

# 7
8
Lattice="-2.863 1.089 2.608 -3.185 -1.531 -2.857 0.528 -9.851 4.691" Properties=species:S:1:pos:R:3 comment="GGA-PBE La4Cu3Rh, relaxed" volume_a3_per_atom=25.0 magnetic_moment_mub_per_fu=0.00 ef_mev_per_atom=-330 pbc="T T T"
Rh -2.979 -1.067 0.278
Cu -1.296 -6.300 1.207
Cu 0.227 -4.243 2.021
Cu -0.942 -8.599 5.658
La -2.839 -3.675 1.520
La -1.133 -9.331 2.650
La 0.072 -1.338 0.637
La -1.095 -5.739 4.296

# 8
4
Lattice="-1.979 3.151 -1.446 -0.976 -2.104 -3.249 -4.808 -1.818 2.621" Properties=species:S:1:pos:R:3 comment="GGA-PBE Np2HgGe, relaxed" volume_a3_per_atom=23.0 magnetic_moment_mub_per_fu=8.52 ef_mev_per_atom=59 pbc="T T T"
Np -3.697 -1.398 2.015
Np -1.111 -0.420 0.606
Ge -1.478 0.524 -2.347
Hg -3.882 -0.385 -1.037

# 9
12
Lattice="5.638 0.000 0.000 2.819 4.883 0.000 2.819 1.628 8.968" Properties=species:S:1:pos:R:3 comment="GGA-PBE Ac2TbZn9, relaxed" volume_a3_per_atom=20.6 magnetic_moment_mub_per_fu=0.00 ef_mev_per_atom=-219 pbc="T T T"
Ac 8.458 4.883 3.767
Ac 2.819 1.628 5.201
Tb 0.000 0.000 0.000
Zn 5.638 3.255 0.032
Zn 5.638 3.255 8.936
Zn 5.638 3.255 4.484
Zn 4.218 2.435 2.066
Zn 7.058 2.435 2.066
Zn 5.638 4.895 2.066
Zn 7.058 4.075 6.903
Zn 5.638 1.616 6.903
Zn 4.218 4.075 6.903

# 10
5
Lattice="-0.841 -3.143 -3.226 4.376 -1.344 0.168 -1.061 -3.051 3.249" Properties=species:S:1:pos:R:3 comment="GGA-PBE MgV3Ge, relaxed" volume_a3_per_atom=19.2 magnetic_moment_mub_per_fu=2.90 ef_mev_per_atom=832 pbc="T T T"
Ge 0.000 0.000 0.000
Mg 1.237 -3.768 0.096
V 2.188 -0.672 0.084
V -0.531 -1.525 1.624
V -0.421 -1.571 -1.613

# 11
4
Lattice="-3.659 7.178 -0.077 -6.210 5.131 0.177 -0.565 1.253 4.425" Properties=species:S:1:pos:R:3 comment="GGA-PBE ScTl2Br, relaxed" volume_a3_per_atom=28.7 raw_formation_energy_mev_per_atom=-355 magnetic_moment_mub_per_fu=0.34 pbc="T T T"
Br -2.608 3.390 1.131
Sc -7.825 10.171 3.394
Tl -1.151 1.948 4.153
Tl -4.632 6.085 2.534

# 12
10
Lattice="-2.429 -0.443 3.740 -6.285 -1.324 -4.240 1.524 -7.543 0.096" Properties=species:S:1:pos:R:3 comment="GGA-PBE Dy2TlCd2, relaxed" volume_a3_per_atom=26.5 magnetic_moment_mub_per_fu=0.00 ef_mev_per_atom=-236 pbc="T T T"
Dy -1.254 -5.486 1.221
Dy -4.147 -7.380 -0.883
Dy -5.937 -3.825 -1.624
Dy -3.043 -1.930 0.480
Tl 0.000 0.000 0.000
Tl -2.381 -4.434 -2.072
Cd -1.000 -7.053 -1.485
Cd -4.509 -5.904 -3.628
Cd -3.761 -1.814 -2.658
Cd -0.252 -2.964 -0.515

# 13
12
Lattice="-2.244 -2.728 2.155 6.169 -5.544 -0.597 3.002 5.844 6.554" Properties=species:S:1:pos:R:3 comment="GGA-PBE Sm6SbP3S2, relaxed" volume_a3_per_atom=25.2 raw_formation_energy_mev_per_atom=-1673 magnetic_moment_mub_per_fu=0.00 pbc="T T T"
Sm 6.895 -2.167 4.435
Sm 3.129 -3.147 3.246
Sm 0.033 -0.261 3.677
Sm 2.405 1.631 8.543
Sm 4.523 -4.060 -0.431
Sm 3.799 0.718 4.865
Sb -1.122 -1.364 1.077
P 1.963 -4.136 0.779
P 1.179 0.692 6.077
P 5.749 -3.121 2.034
S 4.209 -2.076 5.727
S 2.719 -0.353 2.384